Entry 1:
A plane-wave DFT calculation with GGA-PBE was carried out for a relaxed TaZnRu crystal.

abc: 4.237 8.880 5.049
angles: 90.00 90.00 90.00
Space group Cmcm (No. 63)
Symmetry-distinct sites (fractional):
Ta (0.000, 0.218, 0.250) [4 per cell]
Zn (0.000, 0.500, 0.000) [4 per cell]
Ru (0.000, 0.105, 0.750) [4 per cell]

Computed properties:
magnetization	0.00	μB/cell
uncorrected energy	-7.705	eV/atom

***

Entry 2:
A plane-wave DFT calculation with GGA-PBE was carried out for a relaxed Tl2InFe crystal.

abc: 4.415 4.618 9.348
angles: 90.00 90.00 90.00
Space group Cmmm (No. 65)
Symmetry-distinct sites (fractional):
Tl (0.000, 0.000, 0.205) [4 per cell]
In (0.000, 0.500, 0.500) [2 per cell]
Fe (0.000, 0.500, 0.000) [2 per cell]

Computed properties:
magnetization	5.52	μB/cell
uncorrected energy	-3.552	eV/atom

***

Entry 3:
A plane-wave DFT calculation with GGA-PBE was carried out for a relaxed Sr3Ac2In4 crystal.

abc: 5.8150 5.8150 11.0273
angles: 90.00 90.00 120.00
Space group P-3m1 (No. 164)
Symmetry-distinct sites (fractional):
Sr (0.0000, 0.0000, 0.0000) [1 per cell]
Sr (0.3333, 0.6667, 0.5841) [2 per cell]
Ac (0.3333, 0.6667, 0.2038) [2 per cell]
In (0.0000, 0.0000, 0.3516) [2 per cell]
In (0.3333, 0.6667, 0.8959) [2 per cell]

Computed properties:
magnetization	0.00	μB/cell
uncorrected energy	-3.040	eV/atom

***

Entry 4:
A plane-wave DFT calculation with GGA-PBE was carried out for a relaxed ZrFeP3 crystal.

abc: 4.972 4.972 4.972
angles: 90.00 90.00 90.00
Space group Pm-3m (No. 221)
Symmetry-distinct sites (fractional):
Zr (0.000, 0.000, 0.000) [1 per cell]
Fe (0.500, 0.500, 0.500) [1 per cell]
P (0.000, 0.000, 0.500) [3 per cell]

Computed properties:
magnetization	3.44	μB/cell
uncorrected energy	-5.772	eV/atom